La2NdSm2 | PBE | optimized geometry

Summary:
Total energy   -4.7067 eV per atom
M_tot   0.00 μB/cell
Crystal system   monoclinic
Calculated volume   176.8 Å³/f.u.
Energy of formation   0.106 eV per atom

Lattice parameters (Å, degrees): 9.7659 8.3352 9.5073 90.00 113.97 90.00
Space group C2/c (No. 15)
One atom of each set of equivalent atoms:
La  0.1138  0.1684  0.1490
Nd  0.0000  0.2183  0.7500
Sm  0.1660  0.4402  0.4754